[1]
# NaAuO3

Crystalline NaAuO3 at its relaxed geometry (PBE, the Open Quantum Materials Database).

a b c (Å): 5.5886 7.6493 5.3566
angles (deg): 90.00 90.00 90.00
Element x y z (fractional)
1 Na 0.0704 0.2500 0.0213
2 Na 0.4296 0.7500 0.5213
3 Na 0.5704 0.2500 0.4787
4 Na 0.9296 0.7500 0.9787
5 Au 0.0000 0.0000 0.5000
6 Au 0.0000 0.5000 0.5000
7 Au 0.5000 0.0000 0.0000
8 Au 0.5000 0.5000 0.0000
9 O 0.0499 0.7500 0.3729
10 O 0.1949 0.5661 0.8122
11 O 0.1949 0.9339 0.8122
12 O 0.3051 0.0661 0.3122
13 O 0.3051 0.4339 0.3122
14 O 0.4501 0.2500 0.8729
15 O 0.5499 0.7500 0.1271
16 O 0.6949 0.5661 0.6878
17 O 0.6949 0.9339 0.6878
18 O 0.8051 0.0661 0.1878
19 O 0.8051 0.4339 0.1878
20 O 0.9501 0.2500 0.6271

- VASP energy (eV per atom) = -4.185


[2]
# NaAuO2

Crystalline NaAuO2 at its relaxed geometry (PBE, the Open Quantum Materials Database).

a b c (Å): 2.9721 3.2497 5.5477
angles (deg): 90.00 90.00 90.00
Element x y z (fractional)
1 Na 0.0000 0.0000 0.0000
2 Au 0.0000 0.5000 0.5000
3 O 0.5000 0.5000 0.2485
4 O 0.5000 0.5000 0.7515

- VASP energy (eV per atom) = -4.319


[3]
# NaAuO3

Crystalline NaAuO3 at its relaxed geometry (PBE, the Open Quantum Materials Database).

a b c (Å): 5.3614 5.3614 5.3614
angles (deg): 62.58 62.58 62.58
Element x y z (fractional)
1 Na 0.2500 0.2500 0.2500
2 Na 0.7500 0.7500 0.7500
3 Au 0.0000 0.0000 0.0000
4 Au 0.5000 0.5000 0.5000
5 O 0.1379 0.7500 0.3621
6 O 0.2500 0.6379 0.8621
7 O 0.3621 0.1379 0.7500
8 O 0.6379 0.8621 0.2500
9 O 0.7500 0.3621 0.1379
10 O 0.8621 0.2500 0.6379

- VASP energy (eV per atom) = -4.144


[4]
# Na5AuO3

Crystalline Na5AuO3 at its relaxed geometry (PBE, the Open Quantum Materials Database).

a b c (Å): 4.3535 4.3535 8.3570
angles (deg): 90.00 90.00 90.00
Element x y z (fractional)
1 Na 0.0000 0.0000 0.0000
2 Na 0.0000 0.5000 0.2131
3 Na 0.0000 0.5000 0.7869
4 Na 0.5000 0.0000 0.2131
5 Na 0.5000 0.0000 0.7869
6 Au 0.0000 0.0000 0.5000
7 O 0.0000 0.0000 0.2586
8 O 0.0000 0.0000 0.7414
9 O 0.5000 0.5000 0.0000

- VASP energy (eV per atom) = -3.740


[5]
# NaAuO3

Crystalline NaAuO3 at its relaxed geometry (PBE, the Open Quantum Materials Database).

a b c (Å): 3.9183 3.9183 4.2493
angles (deg): 90.00 90.00 90.00
Element x y z (fractional)
1 Na 0.0000 0.0000 0.0000
2 Au 0.5000 0.5000 0.5403
3 O 0.0000 0.5000 0.6507
4 O 0.5000 0.0000 0.6507
5 O 0.5000 0.5000 0.0728

- VASP energy (eV per atom) = -3.998


[6]
# Na2AuO2

Crystalline Na2AuO2 at its relaxed geometry (PBE, the Open Quantum Materials Database).

a b c (Å): 8.0414 3.3904 5.4010
angles (deg): 90.00 103.23 90.00
Element x y z (fractional)
1 Na 0.1691 0.0000 0.1791
2 Na 0.3309 0.5000 0.8209
3 Na 0.6691 0.5000 0.1791
4 Na 0.8309 0.0000 0.8209
5 Au 0.0000 0.5000 0.5000
6 Au 0.5000 0.0000 0.5000
7 O 0.1101 0.0000 0.7356
8 O 0.3899 0.5000 0.2644
9 O 0.6101 0.5000 0.7356
10 O 0.8899 0.0000 0.2644

- VASP energy (eV per atom) = -3.962


[7]
# Na2Au2O5

Crystalline Na2Au2O5 at its relaxed geometry (PBE, the Open Quantum Materials Database).

a b c (Å): 3.8919 3.8919 8.2304
angles (deg): 90.00 90.00 90.00
Element x y z (fractional)
1 Na 0.0000 0.0000 0.0000
2 Na 0.0000 0.0000 0.5000
3 Au 0.5000 0.5000 0.2414
4 Au 0.5000 0.5000 0.7586
5 O 0.0000 0.5000 0.1835
6 O 0.0000 0.5000 0.8165
7 O 0.5000 0.0000 0.1835
8 O 0.5000 0.0000 0.8165
9 O 0.5000 0.5000 0.5000

- relative energy among the computed polymorphs (eV/atom) = 0.000
- VASP energy (eV per atom) = -4.081


[8]
# NaAuO2

Crystalline NaAuO2 at its relaxed geometry (PBE, the Open Quantum Materials Database).

a b c (Å): 6.6259 3.0476 6.1611
angles (deg): 90.00 119.05 90.00
Element x y z (fractional)
1 Na 0.0000 0.0000 0.0000
2 Na 0.5000 0.5000 0.0000
3 Au 0.0000 0.0000 0.5000
4 Au 0.5000 0.5000 0.5000
5 O 0.0925 0.5000 0.7503
6 O 0.4075 0.0000 0.2497
7 O 0.5925 0.0000 0.7503
8 O 0.9075 0.5000 0.2497

- VASP energy (eV per atom) = -4.380


Q: The lowest VASP energy belongs to which entry?
A: number 8


Q: Which formula does entry 4 have?
A: Na5AuO3


Copy entry 2 word for word.
# NaAuO2

Crystalline NaAuO2 at its relaxed geometry (PBE, the Open Quantum Materials Database).

a b c (Å): 2.9721 3.2497 5.5477
angles (deg): 90.00 90.00 90.00
Element x y z (fractional)
1 Na 0.0000 0.0000 0.0000
2 Au 0.0000 0.5000 0.5000
3 O 0.5000 0.5000 0.2485
4 O 0.5000 0.5000 0.7515

- VASP energy (eV per atom) = -4.319